VASP calculation (PBE) on a geometry-optimized Er2Zn15Pd2 structure.

Values from the calculation:
calculated density: 8.351 g cm⁻³
DOS at the Fermi energy: 24.38 states/eV per cell
energy of formation from the pure elements: -0.31 eV/atom
electronic total energy: -2.345 eV per atom

a = 8.9566 Å, b = 8.9566 Å, c = 13.1237 Å
α = 90.00°, β = 90.00°, γ = 120.00°
Space group R-3m (No. 166, hexagonal axes)
One atom of each set of equivalent atoms:
Er 0.0000 0.0000 0.1641
Zn 0.0000 0.2904 0.5000
Zn 0.0000 0.5000 0.0000
Zn 0.0069 0.5034 0.6509
Pd 0.0000 0.0000 0.3896